A geometry-optimized Zn2CuMo structure, computed with PBE.

The structure in POSCAR format:
```
Zn2CuMo
1.0
5.130 -1.283 0.000
5.130 1.283 0.000
-2.264 0.000 4.355
Zn Cu Mo
2 1 1
Direct
0.000 0.000 0.000 Zn
0.245 0.245 0.559 Zn
0.496 0.496 0.499 Cu
0.750 0.750 0.060 Mo
```

Values from the calculation:
Size of the total moment = 0.03 μB per atom
Formation enthalpy at 0 K = 0.11 eV/atom
Mass density = 8.41 Mg/m³
Offset from the most stable computed form = 0.367 eV per formula unit
SG = Cm